#A
Computed, not measured: BaSc2Pt after structural relaxation at the PBEsol level of DFT.

Geometry as POSCAR:
```
BaSc2Pt
1.0
-2.170 2.170 5.081
2.170 -2.170 5.081
2.170 2.170 -5.081
Ba Sc Pt
1 2 1
Cartesian
0.000 0.000 0.000
2.170 0.000 2.541
0.000 2.170 2.541
0.000 0.000 5.081
```

Space-group type: I4/mmm (139)


#B
Computed, not measured: BaSc2Pt after structural relaxation at the PBEsol level of DFT.

Geometry as POSCAR:
```
BaSc2Pt
1.0
2.132 1.231 7.334
-2.132 1.231 7.334
0.000 -2.461 7.334
Ba Sc Pt
1 2 1
Cartesian
0.000 0.000 0.000
0.000 0.000 4.661
0.000 0.000 17.342
0.000 0.000 11.002
```

Space-group type: R-3m (166)


#C
Computed, not measured: BaSc2Pt after structural relaxation at the PBEsol level of DFT.

Geometry as POSCAR:
```
BaSc2Pt
1.0
0.000 3.517 3.517
3.517 0.000 3.517
3.517 3.517 0.000
Ba Sc Pt
1 2 1
Cartesian
0.000 0.000 0.000
1.758 1.758 1.758
5.275 5.275 5.275
3.517 3.517 3.517
```

Space-group type: Fm-3m (225)


Which one sits at the top of the stability order? #B does.